Entry 1:
CsRb2IF: optimized geometry, PBE.

Its calculated total energy is -13.790 eV per formula unit. For the total magnetic moment, the calculation gives 0.000 μB per atom. Its density of states at the Fermi level is 0.19 states/eV per atom.

The space group is P4/mmm (No. 123) and the conventional cell measures 5.6132, 5.6132 and 7.7731 Å, with angles of 90.00, 90.00 and 90.00 degrees. Symmetry generates all atoms from Cs at (0.0000, 0.0000, 0.0000), Rb at (0.0000, 0.5000, 0.5000), I at (0.5000, 0.5000, 0.0000) and F at (0.0000, 0.0000, 0.5000).

***

Entry 2:
CsRbI2F: optimized geometry, PBE.

Its calculated total energy is -13.317 eV per formula unit. For the total magnetic moment, the calculation gives 0.161 μB per atom. Its density of states at the Fermi level is 2.45 states/eV per atom.

The space group is P4/mmm (No. 123) and the conventional cell measures 7.1288, 7.1288 and 5.0520 Å, with angles of 90.00, 90.00 and 90.00 degrees. Symmetry generates all atoms from Cs at (0.0000, 0.0000, 0.0000), Rb at (0.5000, 0.5000, 0.5000), I at (0.0000, 0.5000, 0.5000) and F at (0.5000, 0.5000, 0.0000).

***

Look up the calculated total energy of the first one. -13.790 eV per formula unit

***

What did the second record say?
CsRbI2F: optimized geometry, PBE.

Its calculated total energy is -13.317 eV per formula unit. For the total magnetic moment, the calculation gives 0.161 μB per atom. Its density of states at the Fermi level is 2.45 states/eV per atom.

The space group is P4/mmm (No. 123) and the conventional cell measures 7.1288, 7.1288 and 5.0520 Å, with angles of 90.00, 90.00 and 90.00 degrees. Symmetry generates all atoms from Cs at (0.0000, 0.0000, 0.0000), Rb at (0.5000, 0.5000, 0.5000), I at (0.0000, 0.5000, 0.5000) and F at (0.5000, 0.5000, 0.0000).